Below is an optimized crystal structure of Ce6Co2Pt, with properties calculated at the PBE-GGA level.

abc: 8.1792 8.1791 8.1792
angles: 108.06 107.48 112.94
Atoms (fractional coordinates):
1 Ce 0.5286 0.7017 0.8269
2 Ce 0.4714 0.2983 0.1731
3 Ce 0.1252 0.2983 0.8269
4 Ce 0.8748 0.7017 0.1731
5 Ce 0.8116 0.7549 0.5665
6 Ce 0.1884 0.2451 0.4335
7 Ce 0.1884 0.7549 0.9433
8 Ce 0.8116 0.2451 0.0567
9 Ce 0.6848 0.3356 0.6508
10 Ce 0.3152 0.6644 0.3492
11 Ce 0.3152 0.9661 0.6508
12 Ce 0.6848 0.0339 0.3492
13 Co 0.5000 0.3554 0.8554
14 Co 0.5000 0.6446 0.1446
15 Co 0.7127 0.0000 0.7127
16 Co 0.2873 0.0000 0.2873
17 Pt 0.0000 0.5000 0.5000
18 Pt 0.0000 0.0000 0.0000

E_form ... -29 kJ per mole of atoms
Fermi-level density of states ... 2.706 states/eV/atom
Density ... 9.12 g/cm³
Spin magnetization ... 0.36 μB/atom
Crystal system ... orthorhombic



Below is an optimized crystal structure of AgAs4Pt, with properties calculated at the PBE-GGA level.

abc: 5.4901 5.4901 5.4901
angles: 60.00 60.00 60.00
Atoms (fractional coordinates):
1 Ag 0.0000 0.0000 0.0000
2 As 0.8846 0.3718 0.3718
3 As 0.3718 0.3718 0.8846
4 As 0.3718 0.8846 0.3718
5 As 0.3718 0.3718 0.3718
6 Pt 0.7500 0.7500 0.7500

E_form ... 55 kJ per mole of atoms
Fermi-level density of states ... 0.912 states/eV/atom
Density ... 8.55 g/cm³
Spin magnetization ... 0.00 μB/atom
Crystal system ... cubic



Below is an optimized crystal structure of KZr2RuI, with properties calculated at the PBE-GGA level.

abc: 4.9829 5.4605 4.9829
angles: 90.00 90.00 90.00
Atoms (fractional coordinates):
1 I 0.0000 0.5000 0.0000
2 Ru 0.5000 0.5000 0.5000
3 K 0.0000 0.0000 0.0000
4 Zr 0.0000 0.0000 0.5000
5 Zr 0.5000 0.0000 0.0000

Raw formation energy ... 224 kJ per mole of atoms
ΔE to the lowest computed polymorph ... 232 meV/atom
Fermi-level density of states ... 1.544 states/eV/atom
Density ... 5.51 g/cm³
Spin magnetization ... 0.64 μB/atom
Crystal system ... tetragonal



Below is an optimized crystal structure of ZrFeAs3, with properties calculated at the PBE-GGA level.

abc: 4.5821 4.5821 4.5821
angles: 90.00 90.00 90.00
Atoms (fractional coordinates):
1 As 0.0000 0.5000 0.0000
2 As 0.0000 0.0000 0.5000
3 As 0.5000 0.0000 0.0000
4 Fe 0.0000 0.0000 0.0000
5 Zr 0.5000 0.5000 0.5000

E_form ... 26 kJ per mole of atoms
ΔE to the lowest computed polymorph ... 0 meV/atom
Fermi-level density of states ... 2.304 states/eV/atom
Density ... 6.42 g/cm³
Spin magnetization ... 0.00 μB/atom
Crystal system ... cubic



Below is an optimized crystal structure of Fe2Re3, with properties calculated at the PBE-GGA level.

abc: 10.9141 10.9141 10.9141
angles: 14.20 14.20 14.20
Atoms (fractional coordinates):
1 Fe 0.6012 0.6012 0.6012
2 Fe 0.3988 0.3988 0.3988
3 Re 0.0000 0.0000 0.0000
4 Re 0.7975 0.7975 0.7975
5 Re 0.2025 0.2025 0.2025

E_form ... 15 kJ per mole of atoms
ΔE to the lowest computed polymorph ... 165 meV/atom
Fermi-level density of states ... 1.014 states/eV/atom
Density ... 16.34 g/cm³
Spin magnetization ... 0.51 μB/atom
Crystal system ... trigonal



Below is an optimized crystal structure of SmAs3, with properties calculated at the PBE-GGA level.

abc: 5.8095 5.8095 5.8095
angles: 138.12 138.12 60.72
Atoms (fractional coordinates):
1 As 0.7500 0.2500 0.5000
2 As 0.2500 0.7500 0.5000
3 As 0.5000 0.5000 0.0000
4 Sm 0.0000 0.0000 0.0000

E_form ... -51 kJ per mole of atoms
Fermi-level density of states ... 0.618 states/eV/atom
Density ... 7.21 g/cm³
Spin magnetization ... 0.00 μB/atom
Crystal system ... tetragonal



Below is an optimized crystal structure of PPd2Pb2, with properties calculated at the PBE-GGA level.

abc: 6.4610 6.4610 5.1305
angles: 90.00 90.00 90.00
Atoms (fractional coordinates):
1 Pb 0.1745 0.6745 0.5000
2 Pb 0.6745 0.8255 0.5000
3 Pb 0.8255 0.3255 0.5000
4 Pb 0.3255 0.1745 0.5000
5 P 0.0000 0.0000 0.0000
6 P 0.5000 0.5000 0.0000
7 Pd 0.3361 0.8361 0.0000
8 Pd 0.8361 0.6639 0.0000
9 Pd 0.6639 0.1639 0.0000
10 Pd 0.1639 0.3361 0.0000

E_form ... -9 kJ per mole of atoms
Fermi-level density of states ... 0.815 states/eV/atom
Density ... 10.21 g/cm³
Spin magnetization ... 0.00 μB/atom
Crystal system ... tetragonal



Below is an optimized crystal structure of Y4ZnHgO, with properties calculated at the PBE-GGA level.

abc: 6.6920 6.7011 8.1222
angles: 90.00 114.33 90.00
Atoms (fractional coordinates):
1 Y 0.9254 0.2500 0.8509
2 Y 0.4332 0.7500 0.8664
3 Y 0.0746 0.7500 0.1491
4 Y 0.5668 0.2500 0.1336
5 Y 0.5000 0.5000 0.5000
6 Y 0.0000 0.0000 0.5000
7 Y 0.5000 0.0000 0.5000
8 Y 0.0000 0.5000 0.5000
9 Zn 0.6264 0.7500 0.2529
10 Zn 0.3736 0.2500 0.7471
11 Hg 0.1200 0.2500 0.2401
12 Hg 0.8800 0.7500 0.7599
13 O 0.2489 0.7500 0.4978
14 O 0.7511 0.2500 0.5022

Raw formation energy ... -100 kJ per mole of atoms
Fermi-level density of states ... 0.104 states/eV/atom
Density ... 6.38 g/cm³
Spin magnetization ... 0.00 μB/atom
Crystal system ... orthorhombic